VASP calculation (SCAN) on CsHCl2 at its PBEsol-relaxed geometry.

Structure (POSCAR):
```
CsHCl2
1.0
-1.3992 5.2298 -0.0398
-2.6098 2.0715 -4.2670
-6.5868 1.0483 1.1032
Cl Cs H
2 1 1
direct
0.0865 0.0865 0.7405 Cl
0.9135 0.9135 0.2595 Cl
0.5000 0.5000 0.5000 Cs
0.0000 0.0000 0.0000 H
```

- Crystal system: trigonal
- VASP energy: -62.704 eV per cell